[1]
VASP calculation (PBE-GGA) on a relaxed ScAl2Tc crystal.

Structure (CIF):
```
data_ScAl2Tc
_chemical_formula_sum 'Sc1 Al2 Tc1'
_cell_length_a 2.817
_cell_length_b 4.048
_cell_length_c 5.767
_cell_angle_alpha 90.00
_cell_angle_beta 90.00
_cell_angle_gamma 90.00
_symmetry_space_group_name_H-M 'P m m m'
_symmetry_Int_Tables_number 47
loop_
_symmetry_equiv_pos_as_xyz
'x,y,z'
'-x,-y,-z'
'-x,-y,z'
'x,y,-z'
'x,-y,-z'
'-x,y,z'
'-x,y,-z'
'x,-y,z'
loop_
_atom_site_label
_atom_site_type_symbol
_atom_site_fract_x
_atom_site_fract_y
_atom_site_fract_z
Sc1 Sc 0.000 0.000 0.000
Al1 Al 0.500 0.500 0.277
Tc1 Tc 0.000 0.000 0.500
```

Output
- Uncorrected energy: -6.36 eV per atom
- Offset from the most stable computed form: 95 meV per atom
- Formation energy: -0.319 eV per atom


[2]
VASP calculation (PBE-GGA) on a relaxed YSbPI2 crystal.

Structure (CIF):
```
data_YSbPI2
_chemical_formula_sum 'Y1 Sb1 P1 I2'
_cell_length_a 5.231
_cell_length_b 5.231
_cell_length_c 5.681
_cell_angle_alpha 90.00
_cell_angle_beta 90.00
_cell_angle_gamma 90.00
_symmetry_space_group_name_H-M 'P 4/m m m'
_symmetry_Int_Tables_number 123
_symmetry_space_group_name_Hall '-P 4 2'
loop_
_atom_site_label
_atom_site_type_symbol
_atom_site_fract_x
_atom_site_fract_y
_atom_site_fract_z
Y1 Y 0.000 0.000 0.000
Sb1 Sb 0.500 0.500 0.000
P1 P 0.500 0.500 0.500
I1 I 0.000 0.500 0.500
```

Output
- Uncorrected energy: -3.71 eV per atom
- Raw formation energy: 0.11 eV per atom
- Offset from the most stable computed form: 0 meV per atom


[3]
VASP calculation (PBE-GGA) on a relaxed Na2PrAu crystal.

Structure (CIF):
```
data_Na2PrAu
_chemical_formula_sum 'Na6 Pr3 Au3'
_cell_length_a 3.3838
_cell_length_b 3.3838
_cell_length_c 34.7553
_cell_angle_alpha 90.00
_cell_angle_beta 90.00
_cell_angle_gamma 120.00
_symmetry_space_group_name_H-M 'R -3 m'
_symmetry_Int_Tables_number 166
_symmetry_space_group_name_Hall '-R 3 2"'
loop_
_atom_site_label
_atom_site_type_symbol
_atom_site_fract_x
_atom_site_fract_y
_atom_site_fract_z
Na1 Na 0.0000 0.0000 0.1004
Pr1 Pr 0.0000 0.0000 0.0000
Au1 Au 0.0000 0.0000 0.5000
```

Output
- Uncorrected energy: -2.57 eV per atom
- Formation energy: 0.099 eV per atom


[4]
VASP calculation (PBE-GGA) on a relaxed KNaAuO2 crystal.

Structure (CIF):
```
data_KNaAuO2
_chemical_formula_sum 'K4 Na4 Au4 O8'
_cell_length_a 5.424
_cell_length_b 12.293
_cell_length_c 5.524
_cell_angle_alpha 90.00
_cell_angle_beta 90.00
_cell_angle_gamma 90.00
_symmetry_space_group_name_H-M 'C m m e'
_symmetry_Int_Tables_number 67
_symmetry_space_group_name_Hall '-C 2a 2'
loop_
_atom_site_label
_atom_site_type_symbol
_atom_site_fract_x
_atom_site_fract_y
_atom_site_fract_z
K1 K 0.000 0.250 0.236
Na1 Na 0.250 0.000 0.000
Au1 Au 0.000 0.000 0.500
O1 O 0.000 0.110 0.769
```

Output
- Uncorrected energy: -3.94 eV per atom
- Raw formation energy: -0.82 eV per atom


[5]
VASP calculation (PBE-GGA) on a relaxed ZrZnBr2 crystal.

Structure (CIF):
```
data_ZrZnBr2
_chemical_formula_sum 'Zr4 Zn4 Br8'
_cell_length_a 7.228
_cell_length_b 7.228
_cell_length_c 7.228
_cell_angle_alpha 90.00
_cell_angle_beta 90.00
_cell_angle_gamma 90.00
_symmetry_space_group_name_H-M 'F -4 3 m'
_symmetry_Int_Tables_number 216
_symmetry_space_group_name_Hall 'F -4 2 3'
loop_
_atom_site_label
_atom_site_type_symbol
_atom_site_fract_x
_atom_site_fract_y
_atom_site_fract_z
Zr1 Zr 0.000 0.000 0.000
Zn1 Zn 0.250 0.250 0.250
Br1 Br 0.000 0.000 0.500
Br2 Br 0.250 0.250 0.750
```

Output
- Uncorrected energy: -3.12 eV per atom
- Raw formation energy: 0.17 eV per atom
- Offset from the most stable computed form: 837 meV per atom


[6]
VASP calculation (PBE-GGA) on a relaxed TePtPbN2 crystal.

Structure (CIF):
```
data_TePtPbN2
_chemical_formula_sum 'Te1 Pt1 Pb1 N2'
_cell_length_a 4.212
_cell_length_b 4.212
_cell_length_c 5.347
_cell_angle_alpha 90.00
_cell_angle_beta 90.00
_cell_angle_gamma 90.00
_symmetry_space_group_name_H-M 'P 4/m m m'
_symmetry_Int_Tables_number 123
_symmetry_space_group_name_Hall '-P 4 2'
loop_
_atom_site_label
_atom_site_type_symbol
_atom_site_fract_x
_atom_site_fract_y
_atom_site_fract_z
Te1 Te 0.000 0.000 0.000
Pt1 Pt 0.000 0.000 0.500
Pb1 Pb 0.500 0.500 0.500
N1 N 0.000 0.500 0.000
```

Output
- Uncorrected energy: -4.76 eV per atom
- Raw formation energy: 1.15 eV per atom
- Offset from the most stable computed form: 0 meV per atom


[7]
VASP calculation (PBE-GGA) on a relaxed Sm3Y4Ho4 crystal.

Structure (CIF):
```
data_Sm3Y4Ho4
_chemical_formula_sum 'Sm6 Y8 Ho8'
_cell_length_a 3.531
_cell_length_b 11.282
_cell_length_c 18.429
_cell_angle_alpha 90.00
_cell_angle_beta 90.00
_cell_angle_gamma 90.00
_symmetry_space_group_name_H-M 'I m m m'
_symmetry_Int_Tables_number 71
_symmetry_space_group_name_Hall '-I 2 2'
loop_
_atom_site_label
_atom_site_type_symbol
_atom_site_fract_x
_atom_site_fract_y
_atom_site_fract_z
Sm1 Sm 0.000 0.000 0.000
Sm2 Sm 0.000 0.500 0.110
Y1 Y 0.000 0.000 0.216
Y2 Y 0.000 0.210 0.500
Ho1 Ho 0.000 0.253 0.328
```

Output
- Uncorrected energy: -5.12 eV per atom
- Offset from the most stable computed form: 24 meV per atom
- Formation energy: 0.178 eV per atom


[8]
VASP calculation (PBE-GGA) on a relaxed HfRe2WCl crystal.

Structure (CIF):
```
data_HfRe2WCl
_chemical_formula_sum 'Hf1 Re2 W1 Cl1'
_cell_length_a 4.860
_cell_length_b 4.860
_cell_length_c 4.534
_cell_angle_alpha 90.00
_cell_angle_beta 90.00
_cell_angle_gamma 90.00
_symmetry_space_group_name_H-M 'P 4/m m m'
_symmetry_Int_Tables_number 123
_symmetry_space_group_name_Hall '-P 4 2'
loop_
_atom_site_label
_atom_site_type_symbol
_atom_site_fract_x
_atom_site_fract_y
_atom_site_fract_z
Hf1 Hf 0.000 0.000 0.000
Re1 Re 0.000 0.500 0.000
W1 W 0.500 0.500 0.500
Cl1 Cl 0.000 0.000 0.500
```

Output
- Uncorrected energy: -7.53 eV per atom
- Raw formation energy: 2.40 eV per atom


[9]
VASP calculation (PBE-GGA) on a relaxed Nb2Pd5Pt5 crystal.

Structure (CIF):
```
data_Nb2Pd5Pt5
_chemical_formula_sum 'Nb4 Pd10 Pt10'
_cell_length_a 11.868
_cell_length_b 3.961
_cell_length_c 8.929
_cell_angle_alpha 90.00
_cell_angle_beta 115.85
_cell_angle_gamma 90.00
_symmetry_space_group_name_H-M 'C 1 2/m 1'
_symmetry_Int_Tables_number 12
loop_
_symmetry_equiv_pos_as_xyz
'x,y,z'
'-x,-y,-z'
'-x,y,-z'
'x,-y,z'
'x+1/2,y+1/2,z'
'-x+1/2,-y+1/2,-z'
'-x+1/2,y+1/2,-z'
'x+1/2,-y+1/2,z'
loop_
_atom_site_label
_atom_site_type_symbol
_atom_site_fract_x
_atom_site_fract_y
_atom_site_fract_z
Nb1 Nb 0.085 0.000 0.255
Pd1 Pd 0.000 0.000 0.500
Pd2 Pd 0.165 0.000 0.002
Pd3 Pd 0.246 0.500 0.247
Pt1 Pt 0.000 0.500 0.000
Pt2 Pt 0.076 0.500 0.751
Pt3 Pt 0.167 0.500 0.501
```

Output
- Uncorrected energy: -6.82 eV per atom
- Offset from the most stable computed form: 0 meV per atom
- Formation energy: -0.466 eV per atom


[10]
VASP calculation (PBE-GGA) on a relaxed NiPt2Br2 crystal.

Structure (CIF):
```
data_NiPt2Br2
_chemical_formula_sum 'Ni2 Pt4 Br4'
_cell_length_a 6.663
_cell_length_b 6.663
_cell_length_c 4.747
_cell_angle_alpha 90.00
_cell_angle_beta 90.00
_cell_angle_gamma 90.00
_symmetry_space_group_name_H-M 'P 4/m b m'
_symmetry_Int_Tables_number 127
_symmetry_space_group_name_Hall '-P 4 2ab'
loop_
_atom_site_label
_atom_site_type_symbol
_atom_site_fract_x
_atom_site_fract_y
_atom_site_fract_z
Ni1 Ni 0.000 0.000 0.000
Pt1 Pt 0.144 0.356 0.000
Br1 Br 0.214 0.286 0.500
```

Output
- Uncorrected energy: -3.79 eV per atom
- Raw formation energy: 0.45 eV per atom
- Offset from the most stable computed form: 0 meV per atom


[11]
VASP calculation (PBE-GGA) on a relaxed RbMgMo3 crystal.

Structure (CIF):
```
data_RbMgMo3
_chemical_formula_sum 'Rb1 Mg1 Mo3'
_cell_length_a 5.124
_cell_length_b 5.124
_cell_length_c 5.124
_cell_angle_alpha 90.00
_cell_angle_beta 90.00
_cell_angle_gamma 90.00
_symmetry_space_group_name_H-M 'P m -3 m'
_symmetry_Int_Tables_number 221
_symmetry_space_group_name_Hall '-P 4 2 3'
loop_
_atom_site_label
_atom_site_type_symbol
_atom_site_fract_x
_atom_site_fract_y
_atom_site_fract_z
Rb1 Rb 0.000 0.000 0.000
Mg1 Mg 0.500 0.500 0.500
Mo1 Mo 0.000 0.500 0.500
```

Output
- Uncorrected energy: -4.51 eV per atom
- Offset from the most stable computed form: 0 meV per atom
- Formation energy: 2.499 eV per atom


[12]
VASP calculation (PBE-GGA) on a relaxed BaZrOs crystal.

Structure (CIF):
```
data_BaZrOs
_chemical_formula_sum 'Ba4 Zr4 Os4'
_cell_length_a 6.719
_cell_length_b 6.719
_cell_length_c 6.719
_cell_angle_alpha 90.00
_cell_angle_beta 90.00
_cell_angle_gamma 90.00
_symmetry_space_group_name_H-M 'F -4 3 m'
_symmetry_Int_Tables_number 216
_symmetry_space_group_name_Hall 'F -4 2 3'
loop_
_atom_site_label
_atom_site_type_symbol
_atom_site_fract_x
_atom_site_fract_y
_atom_site_fract_z
Ba1 Ba 0.000 0.000 0.000
Zr1 Zr 0.250 0.250 0.750
Os1 Os 0.250 0.250 0.250
```

Output
- Uncorrected energy: -5.43 eV per atom
- Offset from the most stable computed form: 1583 meV per atom
- Formation energy: 1.802 eV per atom


[13]
VASP calculation (PBE-GGA) on a relaxed ZrInIr2 crystal.

Structure (CIF):
```
data_ZrInIr2
_chemical_formula_sum 'Zr2 In2 Ir4'
_cell_length_a 6.168
_cell_length_b 7.152
_cell_length_c 3.186
_cell_angle_alpha 90.00
_cell_angle_beta 90.00
_cell_angle_gamma 90.00
_symmetry_space_group_name_H-M 'C m m m'
_symmetry_Int_Tables_number 65
_symmetry_space_group_name_Hall '-C 2 2'
loop_
_atom_site_label
_atom_site_type_symbol
_atom_site_fract_x
_atom_site_fract_y
_atom_site_fract_z
Zr1 Zr 0.000 0.000 0.000
In1 In 0.000 0.500 0.000
Ir1 Ir 0.250 0.250 0.500
```

Output
- Uncorrected energy: -7.73 eV per atom
- Formation energy: -0.479 eV per atom


[14]
VASP calculation (PBE-GGA) on a relaxed K2TlCl5 crystal.

Structure (CIF):
```
data_K2TlCl5
_chemical_formula_sum 'K8 Tl4 Cl20'
_cell_length_a 12.565
_cell_length_b 10.225
_cell_length_c 7.530
_cell_angle_alpha 90.00
_cell_angle_beta 90.00
_cell_angle_gamma 90.00
_symmetry_space_group_name_H-M 'P n m a'
_symmetry_Int_Tables_number 62
loop_
_symmetry_equiv_pos_as_xyz
'x,y,z'
'-x,-y,-z'
'-x+1/2,-y,z+1/2'
'x+1/2,y,-z+1/2'
'x+1/2,-y+1/2,-z+1/2'
'-x+1/2,y+1/2,z+1/2'
'-x,y+1/2,-z'
'x,-y+1/2,z'
loop_
_atom_site_label
_atom_site_type_symbol
_atom_site_fract_x
_atom_site_fract_y
_atom_site_fract_z
K1 K 0.171 0.006 0.112
Tl1 Tl 0.032 0.250 0.504
Cl1 Cl 0.006 0.250 0.167
Cl2 Cl 0.072 0.055 0.706
Cl3 Cl 0.168 0.750 0.408
Cl4 Cl 0.234 0.250 0.405
```

Output
- Uncorrected energy: -3.05 eV per atom
- Raw formation energy: -1.32 eV per atom
- Offset from the most stable computed form: 0 meV per atom


[15]
VASP calculation (PBE-GGA) on a relaxed LaZrPbBr2 crystal.

Structure (CIF):
```
data_LaZrPbBr2
_chemical_formula_sum 'La1 Zr1 Pb1 Br2'
_cell_length_a 5.651
_cell_length_b 5.651
_cell_length_c 5.950
_cell_angle_alpha 90.00
_cell_angle_beta 90.00
_cell_angle_gamma 90.00
_symmetry_space_group_name_H-M 'P 4/m m m'
_symmetry_Int_Tables_number 123
_symmetry_space_group_name_Hall '-P 4 2'
loop_
_atom_site_label
_atom_site_type_symbol
_atom_site_fract_x
_atom_site_fract_y
_atom_site_fract_z
La1 La 0.000 0.000 0.000
Zr1 Zr 0.500 0.500 0.000
Pb1 Pb 0.500 0.500 0.500
Br1 Br 0.000 0.500 0.500
```

Output
- Uncorrected energy: -3.79 eV per atom
- Raw formation energy: 0.32 eV per atom